Here is PrZnS2O8 after structural relaxation from the Alexandria database. Energies are from GGA-PBE.

Values from the calculation:
The calculation puts the density of states at the Fermi level at 1.31 states/eV per cell. As for the total magnetization: 0.99 μB/f.u. The value obtained for the energy is -6.17 eV per atom.

Lattice parameters (Å, degrees): 5.2378 5.2378 7.7930 90.00 90.00 120.00
Last column: nearest neighbours and their distance in Å.
Space group P-3m1 (No. 164)
Unique sites:
Pr1 0.0000 0.0000 0.0000 [1 per cell]  6 O 2.52
Zn1 0.0000 0.0000 0.5000 [1 per cell]  6 O 2.54
S1 0.3333 0.6667 0.1885 [2 per cell]  4 O 1.49-1.51
O1 0.1774 0.3549 0.2483 [6 per cell]  1 S 1.49
O2 0.3333 0.6667 0.9953 [2 per cell]  1 S 1.51

***

Here is PrZrS2O after structural relaxation from the Alexandria database. Energies are from GGA-PBE.

Values from the calculation:
The calculation puts the density of states at the Fermi level at 2.93 states/eV per cell. As for the total magnetization: 0.00 μB/f.u. The value obtained for the energy is -7.50 eV per atom.

Lattice parameters (Å, degrees): 3.8435 3.8435 13.4452 90.00 90.00 90.00
Last column: nearest neighbours and their distance in Å.
Space group P4/nmm (No. 129, origin choice 2)
Unique sites:
Pr1 0.2500 0.2500 0.0970 [2 per cell]  4 O 2.32
Zr1 0.2500 0.2500 0.6022 [2 per cell]  6 S 2.44-2.72
S1 0.2500 0.2500 0.4004 [2 per cell]  5 Zr 2.71-2.72
S2 0.2500 0.2500 0.7836 [2 per cell]  1 Zr 2.44
O1 0.2500 0.7500 0.0000 [2 per cell]  4 Pr 2.32

***

Here is Pr6SbO12 after structural relaxation from the Alexandria database. Energies are from GGA-PBE.

Values from the calculation:
The calculation puts the density of states at the Fermi level at 27.03 states/eV per cell. As for the total magnetization: 1.17 μB/f.u. The value obtained for the energy is -7.79 eV per atom.

Lattice parameters (Å, degrees): 10.3197 10.3197 9.8354 90.00 90.00 120.00
Last column: nearest neighbours and their distance in Å.
Space group R-3 (No. 148, hexagonal axes)
Unique sites:
Pr1 0.0514 0.2602 0.1512 [18 per cell]  6 O 2.34-2.53
Sb1 0.0000 0.0000 0.5000 [3 per cell]  6 O 2.05
O1 0.0391 0.2262 0.9035 [18 per cell]  4 Pr 2.34-2.46
O2 0.0422 0.1873 0.3923 [18 per cell]  1 Sb 2.05